Record 1
# PBE-GGA HgTe2As, optimized geometry
data_HgTe2As
_chemical_formula_sum 'Hg1 Te2 As1'
_cell_length_a 3.723
_cell_length_b 3.723
_cell_length_c 7.605
_cell_angle_alpha 90.00
_cell_angle_beta 90.00
_cell_angle_gamma 90.00
_symmetry_space_group_name_H-M 'P 4/m m m'
_symmetry_Int_Tables_number 123
_symmetry_space_group_name_Hall '-P 4 2'
loop_
_atom_site_label
_atom_site_type_symbol
_atom_site_fract_x
_atom_site_fract_y
_atom_site_fract_z
_atom_site_occupancy
Hg1 Hg 0.000 0.000 0.000 1
Te1 Te 0.500 0.500 0.286 1
As1 As 0.000 0.000 0.500 1
# - Formation energy (no corrections): 300 meV/atom
# - Crystal system: tetragonal
# - Spin magnetization: 0.00 μB per formula unit

***

Record 2
# PBE-GGA Hg2TeAs, optimized geometry
data_Hg2TeAs
_chemical_formula_sum 'Hg2 Te1 As1'
_cell_length_a 3.061
_cell_length_b 3.974
_cell_length_c 9.072
_cell_angle_alpha 90.00
_cell_angle_beta 99.02
_cell_angle_gamma 90.00
_symmetry_space_group_name_H-M 'P 1 m 1'
_symmetry_Int_Tables_number 6
_symmetry_space_group_name_Hall 'P -2y'
loop_
_atom_site_label
_atom_site_type_symbol
_atom_site_fract_x
_atom_site_fract_y
_atom_site_fract_z
_atom_site_occupancy
Hg1 Hg 0.000 0.000 0.000 1
Hg2 Hg 0.368 0.500 0.766 1
Te1 Te 0.220 0.000 0.471 1
As1 As 0.115 0.500 0.248 1
# - Formation energy (no corrections): 96 meV/atom
# - Crystal system: monoclinic
# - Spin magnetization: 0.00 μB per formula unit

***

Record 3
# PBE-GGA HgTeAs, optimized geometry
data_HgTeAs
_chemical_formula_sum 'Hg2 Te2 As2'
_cell_length_a 3.360
_cell_length_b 4.643
_cell_length_c 12.314
_cell_angle_alpha 90.00
_cell_angle_beta 90.00
_cell_angle_gamma 90.00
_symmetry_space_group_name_H-M 'I m m 2'
_symmetry_Int_Tables_number 44
_symmetry_space_group_name_Hall 'I 2 -2'
loop_
_atom_site_label
_atom_site_type_symbol
_atom_site_fract_x
_atom_site_fract_y
_atom_site_fract_z
_atom_site_occupancy
Hg1 Hg 0.000 0.000 0.000 1
Te1 Te 0.000 0.000 0.723 1
As1 As 0.000 0.000 0.513 1
# - Formation energy (no corrections): 204 meV/atom
# - Crystal system: orthorhombic
# - Spin magnetization: 0.00 μB per formula unit

***

Record 4
# PBE-GGA Hg2TeAs, optimized geometry
data_Hg2TeAs
_chemical_formula_sum 'Hg2 Te1 As1'
_cell_length_a 3.694
_cell_length_b 3.694
_cell_length_c 8.716
_cell_angle_alpha 90.00
_cell_angle_beta 90.00
_cell_angle_gamma 90.00
_symmetry_space_group_name_H-M 'P 4 m m'
_symmetry_Int_Tables_number 99
_symmetry_space_group_name_Hall 'P 4 -2'
loop_
_atom_site_label
_atom_site_type_symbol
_atom_site_fract_x
_atom_site_fract_y
_atom_site_fract_z
_atom_site_occupancy
Hg1 Hg 0.000 0.000 0.000 1
Hg2 Hg 0.500 0.500 0.240 1
Te1 Te 0.000 0.000 0.575 1
As1 As 0.500 0.500 0.707 1
# - Formation energy (no corrections): 129 meV/atom
# - Crystal system: tetragonal
# - Spin magnetization: 0.00 μB per formula unit

***

Record 5
# PBE-GGA Hg2TeAs, optimized geometry
data_Hg2TeAs
_chemical_formula_sum 'Hg4 Te2 As2'
_cell_length_a 3.738
_cell_length_b 6.317
_cell_length_c 10.326
_cell_angle_alpha 90.00
_cell_angle_beta 90.00
_cell_angle_gamma 90.00
_symmetry_space_group_name_H-M 'I m m 2'
_symmetry_Int_Tables_number 44
_symmetry_space_group_name_Hall 'I 2 -2'
loop_
_atom_site_label
_atom_site_type_symbol
_atom_site_fract_x
_atom_site_fract_y
_atom_site_fract_z
_atom_site_occupancy
Hg1 Hg 0.000 0.000 0.000 1
Hg2 Hg 0.000 0.500 0.230 1
Te1 Te 0.000 0.000 0.438 1
As1 As 0.000 0.500 0.760 1
# - Formation energy (no corrections): 150 meV/atom
# - Crystal system: orthorhombic
# - Spin magnetization: 0.00 μB per formula unit

***

Record 6
# PBE-GGA Hg2TeAs, optimized geometry
data_Hg2TeAs
_chemical_formula_sum 'Hg6 Te3 As3'
_cell_length_a 4.0131
_cell_length_b 4.0131
_cell_length_c 23.0454
_cell_angle_alpha 90.00
_cell_angle_beta 90.00
_cell_angle_gamma 120.00
_symmetry_space_group_name_H-M 'R 3 m'
_symmetry_Int_Tables_number 160
_symmetry_space_group_name_Hall 'R 3 -2"'
loop_
_atom_site_label
_atom_site_type_symbol
_atom_site_fract_x
_atom_site_fract_y
_atom_site_fract_z
_atom_site_occupancy
Hg1 Hg 0.0000 0.0000 0.0000 1
Hg2 Hg 0.0000 0.0000 0.2493 1
Te1 Te 0.0000 0.0000 0.4856 1
As1 As 0.0000 0.0000 0.7459 1
# - Formation energy (no corrections): 105 meV/atom
# - Crystal system: trigonal
# - Spin magnetization: 0.00 μB per formula unit

***

Record 7
# PBE-GGA HgTe2As2, optimized geometry
data_HgTe2As2
_chemical_formula_sum 'Hg2 Te4 As4'
_cell_length_a 8.822
_cell_length_b 8.822
_cell_length_c 3.734
_cell_angle_alpha 90.00
_cell_angle_beta 90.00
_cell_angle_gamma 90.00
_symmetry_space_group_name_H-M 'P 4/m b m'
_symmetry_Int_Tables_number 127
_symmetry_space_group_name_Hall '-P 4 2ab'
loop_
_atom_site_label
_atom_site_type_symbol
_atom_site_fract_x
_atom_site_fract_y
_atom_site_fract_z
_atom_site_occupancy
Hg1 Hg 0.000 0.000 0.000 1
Te1 Te 0.212 0.288 0.000 1
As1 As 0.138 0.638 0.500 1
# - Formation energy (no corrections): 243 meV/atom
# - Crystal system: tetragonal
# - Spin magnetization: 0.00 μB per formula unit

***

Record 8
# PBE-GGA HgTe2As, optimized geometry
data_HgTe2As
_chemical_formula_sum 'Hg2 Te4 As2'
_cell_length_a 7.403
_cell_length_b 4.251
_cell_length_c 7.498
_cell_angle_alpha 90.00
_cell_angle_beta 107.23
_cell_angle_gamma 90.00
_symmetry_space_group_name_H-M 'C 1 2/m 1'
_symmetry_Int_Tables_number 12
_symmetry_space_group_name_Hall '-C 2y'
loop_
_atom_site_label
_atom_site_type_symbol
_atom_site_fract_x
_atom_site_fract_y
_atom_site_fract_z
_atom_site_occupancy
Hg1 Hg 0.000 0.000 0.000 1
Te1 Te 0.235 0.000 0.728 1
As1 As 0.000 0.500 0.500 1
# - Formation energy (no corrections): -3 meV/atom
# - Crystal system: monoclinic
# - Spin magnetization: 0.00 μB per formula unit

***

Record 9
# PBE-GGA HgTe2As, optimized geometry
data_HgTe2As
_chemical_formula_sum 'Hg2 Te4 As2'
_cell_length_a 4.035
_cell_length_b 4.035
_cell_length_c 18.155
_cell_angle_alpha 90.00
_cell_angle_beta 90.00
_cell_angle_gamma 90.00
_symmetry_space_group_name_H-M 'I -4 m 2'
_symmetry_Int_Tables_number 119
_symmetry_space_group_name_Hall 'I -4 -2'
loop_
_atom_site_label
_atom_site_type_symbol
_atom_site_fract_x
_atom_site_fract_y
_atom_site_fract_z
_atom_site_occupancy
Hg1 Hg 0.000 0.000 0.000 1
Te1 Te 0.000 0.000 0.500 1
Te2 Te 0.000 0.500 0.750 1
As1 As 0.000 0.500 0.250 1
# - Formation energy (no corrections): 254 meV/atom
# - Crystal system: tetragonal
# - Spin magnetization: 0.00 μB per formula unit

***

Record 10
# PBE-GGA Hg2TeAs, optimized geometry
data_Hg2TeAs
_chemical_formula_sum 'Hg2 Te1 As1'
_cell_length_a 3.396
_cell_length_b 4.453
_cell_length_c 7.649
_cell_angle_alpha 90.00
_cell_angle_beta 90.00
_cell_angle_gamma 90.00
_symmetry_space_group_name_H-M 'P m m 2'
_symmetry_Int_Tables_number 25
_symmetry_space_group_name_Hall 'P 2 -2'
loop_
_atom_site_label
_atom_site_type_symbol
_atom_site_fract_x
_atom_site_fract_y
_atom_site_fract_z
_atom_site_occupancy
Hg1 Hg 0.000 0.000 0.000 1
Hg2 Hg 0.500 0.500 0.402 1
Te1 Te 0.000 0.000 0.592 1
As1 As 0.500 0.500 0.058 1
# - Formation energy (no corrections): 145 meV/atom
# - Crystal system: orthorhombic
# - Spin magnetization: 0.00 μB per formula unit

***

Record 11
# PBE-GGA Hg3Te12As5, optimized geometry
data_Hg3Te12As5
_chemical_formula_sum 'Hg24 Te96 As40'
_cell_length_a 17.405
_cell_length_b 17.405
_cell_length_c 17.405
_cell_angle_alpha 90.00
_cell_angle_beta 90.00
_cell_angle_gamma 90.00
_symmetry_space_group_name_H-M 'I a -3 d'
_symmetry_Int_Tables_number 230
_symmetry_space_group_name_Hall '-I 4bd 2c 3'
loop_
_atom_site_label
_atom_site_type_symbol
_atom_site_fract_x
_atom_site_fract_y
_atom_site_fract_z
_atom_site_occupancy
Hg1 Hg 0.000 0.250 0.125 1
Te1 Te 0.027 0.070 0.648 1
As1 As 0.000 0.000 0.000 1
As2 As 0.000 0.250 0.375 1
# - Formation energy (no corrections): 217 meV/atom
# - Crystal system: cubic
# - Spin magnetization: 0.00 μB per formula unit

***

Record 12
# PBE-GGA HgTe2As, optimized geometry
data_HgTe2As
_chemical_formula_sum 'Hg4 Te8 As4'
_cell_length_a 7.429
_cell_length_b 7.429
_cell_length_c 7.429
_cell_angle_alpha 90.00
_cell_angle_beta 90.00
_cell_angle_gamma 90.00
_symmetry_space_group_name_H-M 'F -4 3 m'
_symmetry_Int_Tables_number 216
_symmetry_space_group_name_Hall 'F -4 2 3'
loop_
_atom_site_label
_atom_site_type_symbol
_atom_site_fract_x
_atom_site_fract_y
_atom_site_fract_z
_atom_site_occupancy
Hg1 Hg 0.000 0.000 0.000 1
Te1 Te 0.000 0.000 0.500 1
Te2 Te 0.250 0.250 0.250 1
As1 As 0.250 0.250 0.750 1
# - Formation energy (no corrections): 410 meV/atom
# - Crystal system: cubic
# - Spin magnetization: 0.00 μB per formula unit

***

no.,VASP energy (eV per atom),DOS(E_F) (states/eV/f.u.)
1,-2.508,2.13
2,-2.003,1.36
3,-2.494,1.29
4,-1.970,1.00
5,-1.948,1.14
6,-1.994,2.03
7,-2.934,2.85
8,-2.811,1.43
9,-2.555,2.24
10,-1.953,0.92
11,-2.876,11.93
12,-2.399,2.84